Record 1
PaHOF | GGA-PBE | relaxed

- crystal system = cubic
- E_tot (eV/atom) = -7.289
- density of states at the Fermi level (states/eV per cell) = 16.75
- density (g/cm³) = 10.62
- space group = F-43m (216)

```
PaHOF
1.0
5.5069 0.0000 0.0000
0.0000 5.5069 0.0000
0.0000 0.0000 5.5069
Pa H O F
4 4 4 4
Direct
0.0000 0.0000 0.0000
0.0000 0.5000 0.5000
0.5000 0.0000 0.5000
0.5000 0.5000 0.0000
0.2500 0.2500 0.7500
0.2500 0.7500 0.2500
0.7500 0.2500 0.2500
0.7500 0.7500 0.7500
0.2500 0.2500 0.2500
0.2500 0.7500 0.7500
0.7500 0.2500 0.7500
0.7500 0.7500 0.2500
0.0000 0.0000 0.5000
0.0000 0.5000 0.0000
0.5000 0.0000 0.0000
0.5000 0.5000 0.5000
```


Record 2
Cu2AgSn | GGA-PBE | relaxed

- crystal system = tetragonal
- E_tot (eV/atom) = -3.461
- density of states at the Fermi level (states/eV per cell) = 7.79
- density (g/cm³) = 8.11
- DFT formation energy (kcal/mol of atoms) = 6.93
- space group = I-42d (122)

```
Cu2AgSn
1.0
7.3122 0.0000 0.0000
0.0000 7.3122 0.0000
0.0000 0.0000 5.4181
Cu Ag Sn
8 4 4
Direct
0.2485 0.2500 0.1250
0.2500 0.7485 0.3750
0.2500 0.7515 0.8750
0.2515 0.2500 0.6250
0.7485 0.7500 0.6250
0.7500 0.2485 0.8750
0.7500 0.2515 0.3750
0.7515 0.7500 0.1250
0.0000 0.0000 0.0000
0.0000 0.5000 0.2500
0.5000 0.0000 0.7500
0.5000 0.5000 0.5000
0.0000 0.0000 0.5000
0.0000 0.5000 0.7500
0.5000 0.0000 0.2500
0.5000 0.5000 0.0000
```


Record 3
LaPr5Y2Tm | GGA-PBE | relaxed

- crystal system = tetragonal
- E_tot (eV/atom) = -4.844
- density of states at the Fermi level (states/eV per cell) = 28.39
- density (g/cm³) = 6.11
- DFT formation energy (kcal/mol of atoms) = 6.73
- space group = I4/mcm (140)

```
LaPr5Y2Tm
1.0
-4.7927 4.7927 7.0401
4.7927 -4.7927 7.0401
4.7927 4.7927 -7.0401
La Pr Y Tm
2 10 4 2
Direct
0.2500 0.2500 0.0000
0.7500 0.7500 0.0000
0.0000 0.0000 0.0000
0.0689 0.5689 0.9036
0.1653 0.0689 0.5000
0.3347 0.8347 0.9036
0.4311 0.3347 0.5000
0.5000 0.5000 0.0000
0.5689 0.6653 0.5000
0.6653 0.1653 0.0964
0.8347 0.9311 0.5000
0.9311 0.4311 0.0964
0.1081 0.3919 0.5000
0.3919 0.8919 0.2837
0.6081 0.1081 0.7163
0.8919 0.6081 0.5000
0.2500 0.7500 0.5000
0.7500 0.2500 0.5000
```


Record 4
BaSc3 | GGA-PBE | relaxed

- crystal system = tetragonal
- E above lowest polymorph (meV/atom) = 180
- E_tot (eV/atom) = -4.815
- density of states at the Fermi level (states/eV per cell) = 8.44
- density (g/cm³) = 3.80
- DFT formation energy (kcal/mol of atoms) = 9.55
- space group = P4/mmm (123)

```
BaSc3
1.0
5.5048 0.0000 0.0000
0.0000 5.5048 0.0000
0.0000 0.0000 3.9225
Ba Sc
1 3
Direct
0.0000 0.0000 0.0000
0.0000 0.5000 0.5000
0.5000 0.0000 0.5000
0.5000 0.5000 0.0000
```


Record 5
Y4GeC | GGA-PBE | relaxed

- crystal system = monoclinic
- E_tot (eV/atom) = -7.009
- density of states at the Fermi level (states/eV per cell) = 11.96
- density (g/cm³) = 4.86
- DFT formation energy (kcal/mol of atoms) = -9.05
- space group = C2/c (15)

```
Y4GeC
1.0
4.1158 -6.9948 0.0000
4.1158 6.9948 0.0000
-3.6088 0.0000 5.2251
Y Ge C
8 2 2
Direct
0.0569 0.6544 0.8438
0.1878 0.2796 0.7112
0.2796 0.1878 0.2112
0.3456 0.9431 0.6562
0.6544 0.0569 0.3438
0.7204 0.8122 0.7888
0.8122 0.7204 0.2888
0.9431 0.3456 0.1562
0.3818 0.6182 0.2500
0.6182 0.3818 0.7500
0.0667 0.9333 0.7500
0.9333 0.0667 0.2500
```


Record 6
TlIn12Ga3 | GGA-PBE | relaxed

- crystal system = tetragonal
- E_tot (eV/atom) = -2.725
- density of states at the Fermi level (states/eV per cell) = 6.16
- density (g/cm³) = 7.23
- DFT formation energy (kcal/mol of atoms) = 1.02
- space group = P4/mmm (123)

```
TlIn12Ga3
1.0
4.5319 0.0000 0.0000
0.0000 4.5319 0.0000
0.0000 0.0000 20.0434
Tl In Ga
1 12 3
Direct
0.0000 0.0000 0.0000
0.0000 0.5000 0.1336
0.0000 0.5000 0.3777
0.0000 0.5000 0.6223
0.0000 0.5000 0.8664
0.5000 0.0000 0.1336
0.5000 0.0000 0.3777
0.5000 0.0000 0.6223
0.5000 0.0000 0.8664
0.5000 0.5000 0.0000
0.5000 0.5000 0.2554
0.5000 0.5000 0.5000
0.5000 0.5000 0.7446
0.0000 0.0000 0.2545
0.0000 0.0000 0.5000
0.0000 0.0000 0.7455
```


Record 7
NdTm2Tl | GGA-PBE | relaxed

- crystal system = trigonal
- E above lowest polymorph (meV/atom) = 79
- E_tot (eV/atom) = -4.111
- density of states at the Fermi level (states/eV per cell) = 15.77
- density (g/cm³) = 9.35
- DFT formation energy (kcal/mol of atoms) = -2.12
- space group = R3m (160)

```
NdTm2Tl
1.0
3.5878 0.0000 0.0000
-1.7939 3.1071 0.0000
0.0000 0.0000 32.8255
Nd Tm Tl
3 6 3
Direct
0.0000 0.0000 0.0000
0.3333 0.6667 0.6667
0.6667 0.3333 0.3333
0.0000 0.0000 0.5776
0.0000 0.0000 0.7562
0.3333 0.6667 0.2442
0.3333 0.6667 0.4229
0.6667 0.3333 0.0896
0.6667 0.3333 0.9109
0.0000 0.0000 0.1667
0.3333 0.6667 0.8333
0.6667 0.3333 0.5000
```


Record 8
NaMnPb2Br6 | GGA-PBE | relaxed

- crystal system = triclinic
- ΔE_f (raw) (eV per formula unit) = -8.2
- E_tot (eV/atom) = -3.614
- density of states at the Fermi level (states/eV per cell) = 3.45
- density (g/cm³) = 4.58
- space group = P1 (1)

```
NaMnPb2Br6
1.0
7.4585 0.0000 0.0000
3.5689 6.5530 0.0000
2.8205 -0.7718 7.2053
Na Mn Pb Br
1 1 2 6
Direct
0.0000 0.0000 0.0000
0.1206 0.4282 0.4589
0.4775 0.2588 0.9012
0.4859 0.7426 0.4151
0.0978 0.7068 0.6674
0.2120 0.1060 0.2219
0.2799 0.1264 0.6775
0.5507 0.3462 0.2399
0.7145 0.4989 0.6713
0.9567 0.6864 0.2355
```


Record 9
KAc2I6 | GGA-PBE | relaxed

- crystal system = monoclinic
- ΔE_f (raw) (eV per formula unit) = -12.8
- E_tot (eV/atom) = -3.495
- density of states at the Fermi level (states/eV per cell) = 4.56
- density (g/cm³) = 4.66
- space group = P2_1/c (14)

```
KAc2I6
1.0
6.4003 0.0000 0.0000
0.0000 8.1605 0.0000
-4.4687 0.0000 17.1360
K Ac I
2 4 12
Direct
0.0000 0.0000 0.0000
0.0000 0.5000 0.5000
0.4185 0.1148 0.7504
0.4185 0.3852 0.2504
0.5815 0.6148 0.7496
0.5815 0.8852 0.2496
0.0923 0.0438 0.2423
0.0923 0.4562 0.7423
0.2995 0.6551 0.1041
0.2995 0.8449 0.6041
0.4957 0.6597 0.3972
0.4957 0.8403 0.8972
0.5043 0.1597 0.1028
0.5043 0.3403 0.6028
0.7005 0.1551 0.3959
0.7005 0.3449 0.8959
0.9077 0.5438 0.2577
0.9077 0.9562 0.7577
```


Record 10
YZrCl2 | GGA-PBE | relaxed

- crystal system = orthorhombic
- ΔE_f (raw) (eV per formula unit) = -4.6
- E above lowest polymorph (meV/atom) = 185
- E_tot (eV/atom) = -5.822
- density of states at the Fermi level (states/eV per cell) = 3.78
- density (g/cm³) = 3.92
- space group = Cmm2 (35)

```
YZrCl2
1.0
4.0932 0.0000 0.0000
0.0000 5.3550 0.0000
0.0000 0.0000 9.6967
Y Zr Cl
2 2 4
Direct
0.0000 0.0000 0.0000
0.5000 0.5000 0.0000
0.0000 0.5000 0.7428
0.5000 0.0000 0.7428
0.0000 0.0000 0.5697
0.0000 0.5000 0.1846
0.5000 0.0000 0.1846
0.5000 0.5000 0.5697
```


Record 11
ZnAg4Mo | GGA-PBE | relaxed

- crystal system = cubic
- E_tot (eV/atom) = -3.307
- density of states at the Fermi level (states/eV per cell) = 3.39
- density (g/cm³) = 8.82
- DFT formation energy (kcal/mol of atoms) = 14.09
- space group = F-43m (216)

```
ZnAg4Mo
1.0
0.0000 3.8219 3.8219
3.8219 0.0000 3.8219
3.8219 3.8219 0.0000
Zn Ag Mo
1 4 1
Direct
0.0000 0.0000 0.0000
0.1249 0.6250 0.6250
0.6250 0.1249 0.6250
0.6250 0.6250 0.1249
0.6250 0.6250 0.6250
0.2500 0.2500 0.2500
```


Record 12
MgIn6Pb3 | GGA-PBE | relaxed

- crystal system = monoclinic
- E above lowest polymorph (meV/atom) = 0
- E_tot (eV/atom) = -2.878
- density of states at the Fermi level (states/eV per cell) = 10.62
- density (g/cm³) = 7.71
- DFT formation energy (kcal/mol of atoms) = 0.86
- space group = P2_1/m (11)

```
MgIn6Pb3
1.0
10.5694 0.0000 0.0000
0.0000 4.5347 0.0000
-3.7035 0.0000 11.9939
Mg In Pb
2 12 6
Direct
0.2046 0.2500 0.1604
0.7954 0.7500 0.8396
0.0159 0.2500 0.9088
0.1040 0.2500 0.5491
0.2500 0.7500 0.9971
0.3266 0.2500 0.4193
0.4109 0.7500 0.2799
0.4749 0.2500 0.0946
0.5251 0.7500 0.9054
0.5891 0.2500 0.7201
0.6734 0.7500 0.5807
0.7500 0.2500 0.0029
0.8960 0.7500 0.4509
0.9841 0.7500 0.0912
0.0225 0.7500 0.7196
0.2931 0.2500 0.8066
0.3536 0.7500 0.6139
0.6464 0.2500 0.3861
0.7069 0.7500 0.1934
0.9775 0.2500 0.2804
```


- What is the density in the third record?
  6.11 g/cm³